Record 1
Compound: PmHgPb
Source: Alexandria
Functional: GGA-PBE
Structure: relaxed

Results
* calculated density: 9.90 g/cm³
* formation energy: -300.7 meV per atom
* excess energy over the best structure of this formula in the dataset: 0.44 eV per formula unit
* magnetization: 0.00 μB/atom
* crystal system: cubic

a = 5.0808 Å, b = 5.0808 Å, c = 5.0808 Å
α = 60.00°, β = 60.00°, γ = 60.00°
Closest atoms and distances in Å follow each position.
Fractional coordinates of all 3 atoms:
1 Pb 0.5000 0.5000 0.5000  4 Hg 3.11
2 Hg 0.2500 0.2500 0.2500  4 Pb 3.11, 4 Pm 3.11
3 Pm 0.0000 0.0000 0.0000  4 Hg 3.11

***

Record 2
Compound: Pm2Hg4Pb
Source: Alexandria
Functional: GGA-PBE
Structure: relaxed

Results
* calculated density: 11.45 g/cm³
* formation energy: -346.8 meV per atom
* excess energy over the best structure of this formula in the dataset: 0.00 eV per formula unit
* magnetization: 0.00 μB/atom
* crystal system: trigonal

a = 5.2506 Å, b = 5.2506 Å, c = 8.4584 Å
α = 71.92°, β = 71.92°, γ = 60.00°
Closest atoms and distances in Å follow each position.
Fractional coordinates of all 7 atoms:
1 Hg 0.4308 0.4308 0.7077  3 Pm 3.16, 4 Hg 3.18-3.28
2 Hg 0.1375 0.1375 0.5874  6 Hg 3.18-3.33, 4 Pm 3.23-3.55, 1 Pb 3.26
3 Hg 0.8625 0.8625 0.4126  6 Hg 3.18-3.33, 4 Pm 3.23-3.55, 1 Pb 3.26
4 Hg 0.5692 0.5692 0.2923  3 Pm 3.16, 4 Hg 3.18-3.28
5 Pm 0.2737 0.2737 0.1788  4 Hg 3.16-3.23, 3 Pb 3.34
6 Pm 0.7263 0.7263 0.8212  4 Hg 3.16-3.23, 3 Pb 3.34
7 Pb 0.0000 0.0000 0.0000  2 Hg 3.26, 6 Pm 3.34

***

Record 3
Compound: Pm6Hg4Pb7
Source: Alexandria
Functional: GGA-PBE
Structure: relaxed

Results
* calculated density: 9.87 g/cm³
* formation energy: -169.6 meV per atom
* magnetization: 0.00 μB/atom
* crystal system: cubic

a = 8.8040 Å, b = 8.8040 Å, c = 8.8040 Å
α = 109.47°, β = 109.47°, γ = 109.47°
Closest atoms and distances in Å follow each position.
Fractional coordinates of all 17 atoms:
1 Pm 0.7029 0.7029 0.0000  5 Pb 3.02-3.27
2 Pm 0.7029 0.0000 0.7029  5 Pb 3.02-3.27
3 Pm 0.2971 0.0000 0.2971  5 Pb 3.02-3.27
4 Pm 0.2971 0.2971 0.0000  5 Pb 3.02-3.27
5 Pm 0.0000 0.7029 0.7029  5 Pb 3.02-3.27
6 Pm 0.0000 0.2971 0.2971  5 Pb 3.02-3.27
7 Pb 0.7500 0.5000 0.2500  4 Pm 3.27, 4 Hg 3.59, 4 Pb 3.59
8 Pb 0.5000 0.7500 0.2500  4 Pm 3.27, 4 Pb 3.59, 4 Hg 3.59
9 Pb 0.7500 0.2500 0.5000  4 Pm 3.27, 4 Pb 3.59, 4 Hg 3.59
10 Pb 0.0000 0.0000 0.0000  6 Pm 3.02
11 Pb 0.5000 0.2500 0.7500  4 Pm 3.27, 4 Pb 3.59, 4 Hg 3.59
12 Pb 0.2500 0.5000 0.7500  4 Pm 3.27, 4 Hg 3.59, 4 Pb 3.59
13 Pb 0.2500 0.7500 0.5000  4 Pm 3.27, 4 Pb 3.59, 4 Hg 3.59
14 Hg 0.0000 0.5000 0.0000  6 Pb 3.59, 6 Pm 3.63
15 Hg 0.5000 0.5000 0.5000  6 Pb 3.59, 6 Pm 3.63
16 Hg 0.0000 0.0000 0.5000  6 Pb 3.59, 6 Pm 3.63
17 Hg 0.5000 0.0000 0.0000  6 Pb 3.59, 6 Pm 3.63

***

Record 4
Compound: Pm6HgPb5
Source: Alexandria
Functional: GGA-PBE
Structure: relaxed

Results
* calculated density: 9.91 g/cm³
* formation energy: -500.6 meV per atom
* magnetization: 0.00 μB/atom
* crystal system: orthorhombic

a = 5.1418 Å, b = 8.8937 Å, c = 8.1314 Å
α = 90.00°, β = 71.61°, γ = 90.00°
Closest atoms and distances in Å follow each position.
Fractional coordinates of all 12 atoms:
1 Pb 0.0000 0.5000 0.0000  8 Pm 3.42-3.43, 4 Pb 3.64-3.65
2 Pb 0.6676 0.5000 0.6652  8 Pm 3.43-3.44, 4 Pb 3.62-3.65
3 Pb 0.3364 0.0000 0.3268  8 Pm 3.33-3.42, 2 Hg 3.60, 2 Pb 3.71
4 Pb 0.6636 0.0000 0.6732  8 Pm 3.33-3.42, 2 Hg 3.60, 2 Pb 3.71
5 Pb 0.3324 0.5000 0.3348  8 Pm 3.43-3.44, 4 Pb 3.62-3.65
6 Pm 0.5000 0.7549 0.0000  6 Pb 3.33-3.44, 2 Hg 3.37, 4 Pm 3.63
7 Pm 0.1663 0.2450 0.6679  1 Hg 3.36, 7 Pb 3.37-3.43, 4 Pm 3.63-3.65
8 Pm 0.8337 0.7550 0.3321  1 Hg 3.36, 7 Pb 3.37-3.43, 4 Pm 3.63-3.65
9 Pm 0.1663 0.7550 0.6679  1 Hg 3.36, 7 Pb 3.37-3.43, 4 Pm 3.63-3.65
10 Pm 0.5000 0.2451 0.0000  6 Pb 3.33-3.44, 2 Hg 3.37, 4 Pm 3.63
11 Pm 0.8337 0.2450 0.3321  1 Hg 3.36, 7 Pb 3.37-3.43, 4 Pm 3.63-3.65
12 Hg 0.0000 0.0000 0.0000  8 Pm 3.36-3.37, 4 Pb 3.60

***

Please write out number 1 again, unchanged.
Compound: PmHgPb
Source: Alexandria
Functional: GGA-PBE
Structure: relaxed

Results
* calculated density: 9.90 g/cm³
* formation energy: -300.7 meV per atom
* excess energy over the best structure of this formula in the dataset: 0.44 eV per formula unit
* magnetization: 0.00 μB/atom
* crystal system: cubic

a = 5.0808 Å, b = 5.0808 Å, c = 5.0808 Å
α = 60.00°, β = 60.00°, γ = 60.00°
Closest atoms and distances in Å follow each position.
Fractional coordinates of all 3 atoms:
1 Pb 0.5000 0.5000 0.5000  4 Hg 3.11
2 Hg 0.2500 0.2500 0.2500  4 Pb 3.11, 4 Pm 3.11
3 Pm 0.0000 0.0000 0.0000  4 Hg 3.11

***

Which formula does entry 2 have?
Pm2Hg4Pb

***

magnetization of number 2 (Pm2Hg4Pb)?
0.00 μB/atom